DFT (GGA-PBE) results for a relaxed TaAlCrFe crystal.

Unit cell a=6.019 b=6.019 c=6.019 alpha=90.00 beta=90.00 gamma=90.00
Space group F-43m (No. 216)
Asymmetric unit:
Ta: 0.000 0.000 0.000 [4 per cell]
Al: 0.000 0.000 0.500 [4 per cell]
Cr: 0.250 0.250 0.750 [4 per cell]
Fe: 0.250 0.250 0.250 [4 per cell]

crystal system	cubic

DFT (GGA-PBE) results for a relaxed TaAlCrFe2 crystal.

Unit cell a=4.463 b=4.463 c=4.863 alpha=90.00 beta=90.00 gamma=90.00
Space group P4/mmm (No. 123)
Asymmetric unit:
Ta: 0.000 0.000 0.000 [1 per cell]
Al: 0.000 0.000 0.500 [1 per cell]
Cr: 0.500 0.500 0.500 [1 per cell]
Fe: 0.000 0.500 0.000 [2 per cell]

crystal system	tetragonal

DFT (GGA-PBE) results for a relaxed AlCrFeTc crystal.

Unit cell a=5.850 b=5.850 c=5.850 alpha=90.00 beta=90.00 gamma=90.00
Space group F-43m (No. 216)
Asymmetric unit:
Al: 0.000 0.000 0.000 [4 per cell]
Cr: 0.000 0.000 0.500 [4 per cell]
Fe: 0.250 0.250 0.250 [4 per cell]
Tc: 0.250 0.250 0.750 [4 per cell]

crystal system	cubic

DFT (GGA-PBE) results for a relaxed AlVCrFe crystal.

Unit cell a=5.833 b=5.833 c=5.833 alpha=90.00 beta=90.00 gamma=90.00
Space group F-43m (No. 216)
Asymmetric unit:
Al: 0.000 0.000 0.000 [4 per cell]
V: 0.000 0.000 0.500 [4 per cell]
Cr: 0.250 0.250 0.250 [4 per cell]
Fe: 0.250 0.250 0.750 [4 per cell]

crystal system	cubic

DFT (GGA-PBE) results for a relaxed AlZnCrFe crystal.

Unit cell a=5.883 b=5.883 c=5.883 alpha=90.00 beta=90.00 gamma=90.00
Space group F-43m (No. 216)
Asymmetric unit:
Al: 0.000 0.000 0.000 [4 per cell]
Zn: 0.250 0.250 0.750 [4 per cell]
Cr: 0.000 0.000 0.500 [4 per cell]
Fe: 0.250 0.250 0.250 [4 per cell]

crystal system	cubic

DFT (GGA-PBE) results for a relaxed ZrAlCrFe crystal.

Unit cell a=6.193 b=6.193 c=6.193 alpha=90.00 beta=90.00 gamma=90.00
Space group F-43m (No. 216)
Asymmetric unit:
Zr: 0.000 0.000 0.000 [4 per cell]
Al: 0.000 0.000 0.500 [4 per cell]
Cr: 0.250 0.250 0.750 [4 per cell]
Fe: 0.250 0.250 0.250 [4 per cell]

crystal system	cubic

DFT (GGA-PBE) results for a relaxed Al3CrGa crystal.

Unit cell a=4.743 b=4.743 c=4.743 alpha=90.00 beta=90.00 gamma=90.00
Space group Pm-3m (No. 221)
Asymmetric unit:
Al: 0.000 0.000 0.500 [3 per cell]
Cr: 0.000 0.000 0.000 [1 per cell]
Ga: 0.500 0.500 0.500 [1 per cell]

energy above the most stable polymorph in this dataset	0.402	eV/atom
crystal system	cubic

DFT (GGA-PBE) results for a relaxed Al2CrGa2 crystal.

Unit cell a=6.571 b=6.571 c=3.649 alpha=90.00 beta=90.00 gamma=90.00
Space group P4/mbm (No. 127)
Asymmetric unit:
Al: 0.163 0.337 0.000 [4 per cell]
Cr: 0.000 0.000 0.500 [2 per cell]
Ga: 0.144 0.644 0.500 [4 per cell]

energy above the most stable polymorph in this dataset	0.000	eV/atom
crystal system	tetragonal

Quick rundown of total magnetization, same order as above: 1.99, 3.76, 0.19, 1.98, 0.64, 3.03, 1.59, 0.00 μB per formula unit
Quick rundown of energy of formation, same order as above: -0.199, 1.822, -0.163, -0.218, 0.000, -0.201, 0.522, 0.247 eV/atom